No. 1
Computed, not measured: FeSbIr2 after structural relaxation at the PBE level of DFT.

Geometry as POSCAR:
```
FeSbIr2
1.0
1.501 0.866 8.329
-1.501 0.866 8.329
0.000 -1.733 8.329
Fe Sb Ir
1 1 2
Direct
0.000 0.000 0.000 Fe
0.500 0.500 0.500 Sb
0.255 0.255 0.255 Ir
0.745 0.745 0.745 Ir
```

Volume in Å³/atom: 16.2
Calculated total energy in hartree per atom: -0.26773
Space group: R-3m, No. 166

---

No. 2
Computed, not measured: Na2HgPdCl6 after structural relaxation at the PBE level of DFT.

Geometry as POSCAR:
```
Na2HgPdCl6
1.0
6.802 0.000 0.000
2.464 6.516 0.000
3.284 -1.009 6.351
Na Hg Pd Cl
2 1 1 6
Direct
0.000 0.000 0.000 Na
0.117 0.394 0.471 Na
0.491 0.735 0.417 Hg
0.463 0.240 0.912 Pd
0.081 0.785 0.621 Cl
0.282 0.052 0.161 Cl
0.334 0.141 0.693 Cl
0.581 0.338 0.138 Cl
0.644 0.430 0.669 Cl
0.902 0.671 0.209 Cl
```

Volume in Å³/atom: 28.1
Calculated total energy in hartree per atom: -0.10825
Space group: P1, No. 1

---

> Look up the calculated total energy of the first one.

-0.26773 hartree per atom

---

> What is the formula in the first record?

FeSbIr2